# Ac2Ge4Rh3 GGA-PBE relaxed
data_Ac2Ge4Rh3
_chemical_formula_sum 'Ac8 Ge16 Rh12'
_space_group_name_H-M_alt 'F m m m'
_space_group_IT_number 69
_space_group_name_Hall '-F 2 2'
_cell_length_a 5.728
_cell_length_b 10.195
_cell_length_c 12.943
_cell_angle_alpha 90.00
_cell_angle_beta 90.00
_cell_angle_gamma 90.00
loop_
_atom_site_label
_atom_site_fract_x
_atom_site_fract_y
_atom_site_fract_z
_atom_site_occupancy
Ac1 0.000 0.000 0.136 1
Ge1 0.000 0.172 0.351 1
Rh1 0.000 0.000 0.500 1
Rh2 0.250 0.250 0.000 1
# - Density of states at the Fermi level: 21.875 states/eV per cell
# - Total DFT energy (no corrections): -6.0836 eV per atom
# - Energy of formation: -6.0 eV/f.u.